The following is a DFT calculation (SCAN) of a PBEsol-optimized structure of Li5Al.

E_form ... -0.051 eV/atom
Offset from the most stable computed form ... 0.0 meV/atom
Total DFT energy (no corrections) ... -3.33 eV per atom
Spin magnetization ... 0.01 μB per atom

a b c (Å): 4.7586 2.9125 15.2294
angles (deg): 90.00 90.00 90.00
Space group Amm2 (No. 38)
Symmetry-distinct sites (fractional):
Li 0.0000 0.0000 0.0000 (multiplicity 2)
Li 0.0000 0.0000 0.3191 (multiplicity 2)
Li 0.5000 0.0000 0.2069 (multiplicity 2)
Li 0.5000 0.0000 0.5510 (multiplicity 2)
Li 0.5000 0.0000 0.8786 (multiplicity 2)
Al 0.0000 0.0000 0.6598 (multiplicity 2)

The following is a DFT calculation (SCAN) of a PBEsol-optimized structure of Ca2SbRu.

Total DFT energy (no corrections) ... -23.04 eV per atom
Spin magnetization ... 0.07 μB per atom

a b c (Å): 3.4641 4.1084 6.1656
angles (deg): 90.00 90.00 90.00
Space group Pmmm (No. 47)
Symmetry-distinct sites (fractional):
Ca 0.0000 0.0000 0.2345 (multiplicity 2)
Sb 0.5000 0.5000 0.5000 (multiplicity 1)
Ru 0.5000 0.5000 0.0000 (multiplicity 1)

The following is a DFT calculation (SCAN) of a PBEsol-optimized structure of La2InAu.

E_form ... -0.762 eV/atom
Total DFT energy (no corrections) ... -47.95 eV per atom
Spin magnetization ... 0.00 μB per atom

a b c (Å): 3.8304 5.0696 11.0627
angles (deg): 90.00 90.00 90.00
Space group Imm2 (No. 44)
Symmetry-distinct sites (fractional):
La 0.0000 0.0000 0.0000 (multiplicity 2)
La 0.0000 0.5000 0.2127 (multiplicity 2)
In 0.0000 0.0000 0.4261 (multiplicity 2)
Au 0.0000 0.5000 0.7342 (multiplicity 2)

The following is a DFT calculation (SCAN) of a PBEsol-optimized structure of NaSmSe2O7.

Total DFT energy (no corrections) ... -13.87 eV per atom
Spin magnetization ... 0.00 μB per atom

a b c (Å): 10.7070 6.9008 8.1958
angles (deg): 90.00 91.25 90.00
Space group P2_1/c (No. 14)
Symmetry-distinct sites (fractional):
Na 0.0632 0.1277 0.3110 (multiplicity 4)
Sm 0.4171 0.6508 0.6946 (multiplicity 4)
Se 0.1620 0.6420 0.4560 (multiplicity 4)
Se 0.3296 0.1730 0.5560 (multiplicity 4)
O 0.0556 0.6845 0.9518 (multiplicity 4)
O 0.1204 0.0294 0.8256 (multiplicity 4)
O 0.1906 0.5588 0.6453 (multiplicity 4)
O 0.3069 0.7263 0.4227 (multiplicity 4)
O 0.3414 0.1191 0.3553 (multiplicity 4)
O 0.4107 0.5050 0.1626 (multiplicity 4)
O 0.4515 0.1580 0.0658 (multiplicity 4)